The following is a DFT calculation (SCAN) of KCoSi2 at its PBEsol-relaxed geometry.

The energy above the most stable polymorph in this dataset comes out at 0.0 meV per atom. The calculation puts the raw total energy at -11.382 eV/atom. The energy relative to the elements, uncorrected comes out at 0.034 eV per atom. The calculation puts the volume at 147.51 Å³ per cell.

It has space group C2/m (No. 12), with a = 7.449 Å, b = 2.840 Å, c = 7.024 Å, α = 90.00°, β = 96.91° and γ = 90.00°. The inequivalent atoms are K at (0.000, 0.000, 0.000), Co at (0.000, 0.500, 0.500) and Si at (0.227, 0.000, 0.640).

The following is a DFT calculation (SCAN) of TlOF2 at its PBEsol-relaxed geometry.

The calculation puts the raw total energy at -21.512 eV/atom. The energy relative to the elements, uncorrected comes out at -0.095 eV per atom. The calculation puts the volume at 189.73 Å³ per cell.

It has space group R-3m (No. 166, hexagonal axes), with a = 3.2241 Å, b = 3.2241 Å, c = 21.0760 Å, α = 90.00°, β = 90.00° and γ = 120.00°. The inequivalent atoms are Tl at (0.0000, 0.0000, 0.0000), O at (0.0000, 0.0000, 0.5000) and F at (0.0000, 0.0000, 0.1076).

The following is a DFT calculation (SCAN) of YAlPt4 at its PBEsol-relaxed geometry.

The formation energy comes out at -0.92 eV per atom. The calculation puts the raw total energy at -53.652 eV/atom. The calculation puts the volume at 415.65 Å³ per cell.

It has space group F-43m (No. 216), with a = 7.463 Å, b = 7.463 Å, c = 7.463 Å, α = 90.00°, β = 90.00° and γ = 90.00°. The inequivalent atoms are Y at (0.000, 0.000, 0.000), Al at (0.250, 0.250, 0.250) and Pt at (0.124, 0.124, 0.624).

The following is a DFT calculation (SCAN) of YAlIn2 at its PBEsol-relaxed geometry.

The formation energy comes out at -0.26 eV per atom. The calculation puts the raw total energy at -25.852 eV/atom. The calculation puts the volume at 93.07 Å³ per cell.

It has space group Pmm2 (No. 25), with a = 3.540 Å, b = 3.887 Å, c = 6.764 Å, α = 90.00°, β = 90.00° and γ = 90.00°. The inequivalent atoms are Y at (0.000, 0.000, 0.000), Al at (0.500, 0.500, 0.266), In at (0.000, 0.000, 0.475) and In at (0.500, 0.500, 0.717).

The following is a DFT calculation (SCAN) of Cd3Hg5 at its PBEsol-relaxed geometry.

The energy above the most stable polymorph in this dataset comes out at 7.2 meV per atom. The formation energy comes out at 0.02 eV per atom. The calculation puts the raw total energy at -53.985 eV/atom. The calculation puts the volume at 349.73 Å³ per cell.

It has space group Cmmm (No. 65), with a = 8.748 Å, b = 8.961 Å, c = 4.461 Å, α = 90.00°, β = 90.00° and γ = 90.00°. The inequivalent atoms are Cd at (0.000, 0.000, 0.000), Cd at (0.000, 0.260, 0.500), Hg at (0.000, 0.500, 0.000), Hg at (0.237, 0.000, 0.500) and Hg at (0.250, 0.250, 0.000).

The following is a DFT calculation (SCAN) of KInOs2 at its PBEsol-relaxed geometry.

The formation energy comes out at 1.56 eV per atom. The calculation puts the raw total energy at -44.809 eV/atom. The calculation puts the volume at 145.12 Å³ per cell.

It has space group I4/mmm (No. 139), with a = 3.963 Å, b = 3.963 Å, c = 9.240 Å, α = 90.00°, β = 90.00° and γ = 90.00°. The inequivalent atoms are K at (0.000, 0.000, 0.000), In at (0.000, 0.000, 0.500) and Os at (0.000, 0.500, 0.250).

The following is a DFT calculation (SCAN) of Pr3CoGe2 at its PBEsol-relaxed geometry.

The formation energy comes out at -0.66 eV per atom. The calculation puts the raw total energy at -31.572 eV/atom. The calculation puts the volume at 570.37 Å³ per cell.

It has space group Pnma (No. 62), with a = 11.876 Å, b = 4.209 Å, c = 11.410 Å, α = 90.00°, β = 90.00° and γ = 90.00°. The inequivalent atoms are Pr at (0.055, 0.250, 0.127), Pr at (0.119, 0.750, 0.556), Pr at (0.222, 0.250, 0.797), Co at (0.131, 0.250, 0.366), Ge at (0.024, 0.750, 0.315) and Ge at (0.197, 0.750, 0.993).

The following is a DFT calculation (SCAN) of Mo2IrRh at its PBEsol-relaxed geometry.

The energy above the most stable polymorph in this dataset comes out at 16.6 meV per atom. The formation energy comes out at -0.30 eV per atom. The calculation puts the raw total energy at -43.956 eV/atom. The calculation puts the volume at 57.46 Å³ per cell.

It has space group P4/mmm (No. 123), with a = 2.726 Å, b = 2.726 Å, c = 7.735 Å, α = 90.00°, β = 90.00° and γ = 90.00°. The inequivalent atoms are Mo at (0.000, 0.000, 0.249), Ir at (0.500, 0.500, 0.500) and Rh at (0.500, 0.500, 0.000).

The following is a DFT calculation (SCAN) of BeCuNiBr2 at its PBEsol-relaxed geometry.

The calculation puts the raw total energy at -14.091 eV/atom. The energy relative to the elements, uncorrected comes out at 0.838 eV per atom. The calculation puts the volume at 100.26 Å³ per cell.

It has space group P4/mmm (No. 123), with a = 4.688 Å, b = 4.688 Å, c = 4.561 Å, α = 90.00°, β = 90.00° and γ = 90.00°. The inequivalent atoms are Be at (0.000, 0.000, 0.000), Cu at (0.500, 0.500, 0.000), Ni at (0.500, 0.500, 0.500) and Br at (0.000, 0.500, 0.500).

The following is a DFT calculation (SCAN) of Sc2AlCl at its PBEsol-relaxed geometry.

The energy above the most stable polymorph in this dataset comes out at 140.5 meV per atom. The calculation puts the raw total energy at -11.811 eV/atom. The energy relative to the elements, uncorrected comes out at -0.760 eV per atom. The calculation puts the volume at 78.70 Å³ per cell.

It has space group Pmmm (No. 47), with a = 3.307 Å, b = 4.400 Å, c = 5.409 Å, α = 90.00°, β = 90.00° and γ = 90.00°. The inequivalent atoms are Sc at (0.000, 0.000, 0.000), Sc at (0.500, 0.500, 0.500), Al at (0.000, 0.000, 0.500) and Cl at (0.500, 0.500, 0.000).

The following is a DFT calculation (SCAN) of HfRh3 at its PBEsol-relaxed geometry.

The formation energy comes out at -0.85 eV per atom. The calculation puts the raw total energy at -41.845 eV/atom. The calculation puts the volume at 58.68 Å³ per cell.

It has space group Pm-3m (No. 221), with a = 3.886 Å, b = 3.886 Å, c = 3.886 Å, α = 90.00°, β = 90.00° and γ = 90.00°. The inequivalent atoms are Hf at (0.000, 0.000, 0.000) and Rh at (0.000, 0.500, 0.500).

The following is a DFT calculation (SCAN) of Li2CuAu at its PBEsol-relaxed geometry.

The formation energy comes out at -0.37 eV per atom. The calculation puts the raw total energy at -22.653 eV/atom. The calculation puts the volume at 106.92 Å³ per cell.

It has space group I4/mmm (No. 139), with a = 3.758 Å, b = 3.758 Å, c = 7.569 Å, α = 90.00°, β = 90.00° and γ = 90.00°. The inequivalent atoms are Li at (0.000, 0.500, 0.250), Cu at (0.000, 0.000, 0.000) and Au at (0.000, 0.000, 0.500).